The following is a DFT calculation (PBE-GGA) of TcH3Pt after structural relaxation.

```
data_TcH3Pt
_chemical_formula_sum 'Tc1 H3 Pt1'
_cell_length_a 3.443
_cell_length_b 3.443
_cell_length_c 3.443
_cell_angle_alpha 90.00
_cell_angle_beta 90.00
_cell_angle_gamma 90.00
_space_group_name_H-M_alt 'P m -3 m'
_space_group_IT_number 221
_space_group_name_Hall '-P 4 2 3'
loop_
_atom_site_label
_atom_site_type_symbol
_atom_site_fract_x
_atom_site_fract_y
_atom_site_fract_z
Tc1 Tc 0.000 0.000 0.000
H1 H 0.000 0.000 0.500
Pt1 Pt 0.500 0.500 0.500
```

Computed properties:
* mass density: 12.1 g/cm³
* E: -24.3 eV for the cell shown